# PrGa3CoCu, optimized geometry, DFT PBE-GGA
data_PrGa3CoCu
_space_group_name_H-M_alt 'P 1'
_space_group_IT_number 1
_space_group_name_Hall 'P 1'
_cell_length_a 6.396
_cell_length_b 6.271
_cell_length_c 6.518
_cell_angle_alpha 118.76
_cell_angle_beta 90.00
_cell_angle_gamma 90.00
loop_
_atom_site_label
_atom_site_type_symbol
_atom_site_fract_x
_atom_site_fract_y
_atom_site_fract_z
Pr1 Pr 0.750 0.243 0.486
Pr2 Pr 0.250 0.757 0.514
Ga1 Ga 0.250 0.294 0.587
Ga2 Ga 0.000 0.212 0.000
Ga3 Ga 0.500 0.788 0.000
Ga4 Ga 0.500 0.212 0.000
Ga5 Ga 0.000 0.788 0.000
Ga6 Ga 0.750 0.706 0.413
Co1 Co 0.250 0.100 0.200
Co2 Co 0.750 0.900 0.800
Cu1 Cu 0.250 0.497 0.995
Cu2 Cu 0.750 0.503 0.005
# ΔH_f (0 K)   -0.22 eV/atom
# Volume   19.1 A^3/atom



# Rb3YPt, optimized geometry, DFT PBE-GGA
data_Rb3YPt
_space_group_name_H-M_alt 'P 1'
_space_group_IT_number 1
_space_group_name_Hall 'P 1'
_cell_length_a 6.892
_cell_length_b 6.892
_cell_length_c 6.892
_cell_angle_alpha 90.00
_cell_angle_beta 90.00
_cell_angle_gamma 90.00
loop_
_atom_site_label
_atom_site_type_symbol
_atom_site_fract_x
_atom_site_fract_y
_atom_site_fract_z
Y1 Y 0.000 0.000 0.000
Rb1 Rb 0.000 0.500 0.000
Rb2 Rb 0.000 0.000 0.500
Rb3 Rb 0.500 0.000 0.000
Pt1 Pt 0.500 0.500 0.500
# ΔH_f (0 K)   1.37 eV/atom
# Distance to the lowest polymorph of the same formula   729 meV per atom
# Volume   65.5 A^3/atom



# Nb4PdC, optimized geometry, DFT PBE-GGA
data_Nb4PdC
_space_group_name_H-M_alt 'P 1'
_space_group_IT_number 1
_space_group_name_Hall 'P 1'
_cell_length_a 4.819
_cell_length_b 6.361
_cell_length_c 7.777
_cell_angle_alpha 117.93
_cell_angle_beta 90.00
_cell_angle_gamma 90.00
loop_
_atom_site_label
_atom_site_type_symbol
_atom_site_fract_x
_atom_site_fract_y
_atom_site_fract_z
Nb1 Nb 0.239 0.827 0.137
Nb2 Nb 0.261 0.327 0.137
Nb3 Nb 0.784 0.637 0.241
Nb4 Nb 0.284 0.863 0.759
Nb5 Nb 0.716 0.137 0.241
Nb6 Nb 0.216 0.363 0.759
Nb7 Nb 0.739 0.673 0.863
Nb8 Nb 0.761 0.173 0.863
Pd1 Pd 0.000 0.500 0.500
Pd2 Pd 0.500 0.000 0.500
C1 C 0.500 0.500 0.000
C2 C 0.000 0.000 0.000
# ΔH_f (0 K)   0.05 eV/atom
# Volume   17.6 A^3/atom



# CsRb3Ru, optimized geometry, DFT PBE-GGA
data_CsRb3Ru
_space_group_name_H-M_alt 'P 1'
_space_group_IT_number 1
_space_group_name_Hall 'P 1'
_cell_length_a 7.918
_cell_length_b 7.918
_cell_length_c 7.918
_cell_angle_alpha 90.00
_cell_angle_beta 90.00
_cell_angle_gamma 90.00
loop_
_atom_site_label
_atom_site_type_symbol
_atom_site_fract_x
_atom_site_fract_y
_atom_site_fract_z
Cs1 Cs 0.000 0.000 0.000
Ru1 Ru 0.500 0.500 0.500
Rb1 Rb 0.000 0.500 0.000
Rb2 Rb 0.000 0.000 0.500
Rb3 Rb 0.500 0.000 0.000
# ΔH_f (0 K)   1.51 eV/atom
# Distance to the lowest polymorph of the same formula   685 meV per atom
# Volume   99.3 A^3/atom



# PmZnSn2, optimized geometry, DFT PBE-GGA
data_PmZnSn2
_space_group_name_H-M_alt 'P 1'
_space_group_IT_number 1
_space_group_name_Hall 'P 1'
_cell_length_a 4.521
_cell_length_b 4.644
_cell_length_c 4.644
_cell_angle_alpha 90.00
_cell_angle_beta 90.00
_cell_angle_gamma 90.00
loop_
_atom_site_label
_atom_site_type_symbol
_atom_site_fract_x
_atom_site_fract_y
_atom_site_fract_z
Zn1 Zn 0.500 0.000 0.000
Sn1 Sn 0.000 0.000 0.500
Sn2 Sn 0.000 0.500 0.000
Pm1 Pm 0.500 0.500 0.500
# ΔH_f (0 K)   -0.46 eV/atom
# Distance to the lowest polymorph of the same formula   38 meV per atom
# Volume   24.4 A^3/atom



# TaMnP2, optimized geometry, DFT PBE-GGA
data_TaMnP2
_space_group_name_H-M_alt 'P 1'
_space_group_IT_number 1
_space_group_name_Hall 'P 1'
_cell_length_a 3.571
_cell_length_b 3.092
_cell_length_c 5.001
_cell_angle_alpha 90.04
_cell_angle_beta 90.00
_cell_angle_gamma 90.00
loop_
_atom_site_label
_atom_site_type_symbol
_atom_site_fract_x
_atom_site_fract_y
_atom_site_fract_z
Mn1 Mn 0.500 0.750 0.750
P1 P 0.000 0.749 0.007
P2 P 0.000 0.751 0.493
Ta1 Ta 0.500 0.250 0.250
# ΔH_f (0 K)   -0.31 eV/atom
# Distance to the lowest polymorph of the same formula   305 meV per atom
# Volume   13.8 A^3/atom



# Nd4Dy3Sc2, optimized geometry, DFT PBE-GGA
data_Nd4Dy3Sc2
_space_group_name_H-M_alt 'P 1'
_space_group_IT_number 1
_space_group_name_Hall 'P 1'
_cell_length_a 3.600
_cell_length_b 6.605
_cell_length_c 14.261
_cell_angle_alpha 63.72
_cell_angle_beta 90.00
_cell_angle_gamma 105.82
loop_
_atom_site_label
_atom_site_type_symbol
_atom_site_fract_x
_atom_site_fract_y
_atom_site_fract_z
Nd1 Nd 0.653 0.305 0.128
Nd2 Nd 0.106 0.212 0.615
Nd3 Nd 0.894 0.788 0.385
Nd4 Nd 0.347 0.695 0.872
Dy1 Dy 0.376 0.752 0.613
Dy2 Dy 0.000 0.000 0.000
Dy3 Dy 0.624 0.248 0.387
Sc1 Sc 0.339 0.678 0.208
Sc2 Sc 0.661 0.322 0.792
# ΔH_f (0 K)   0.09 eV/atom
# Volume   32.2 A^3/atom



# CrBBr2, optimized geometry, DFT PBE-GGA
data_CrBBr2
_space_group_name_H-M_alt 'P 1'
_space_group_IT_number 1
_space_group_name_Hall 'P 1'
_cell_length_a 6.036
_cell_length_b 6.036
_cell_length_c 6.684
_cell_angle_alpha 63.16
_cell_angle_beta 63.16
_cell_angle_gamma 90.00
loop_
_atom_site_label
_atom_site_type_symbol
_atom_site_fract_x
_atom_site_fract_y
_atom_site_fract_z
Cr1 Cr 0.000 0.000 0.000
Cr2 Cr 0.750 0.250 0.500
B1 B 0.500 0.500 0.000
B2 B 0.250 0.750 0.500
Br1 Br 0.664 0.125 0.250
Br2 Br 0.086 0.625 0.250
Br3 Br 0.375 0.336 0.750
Br4 Br 0.875 0.914 0.750
# Distance to the lowest polymorph of the same formula   382 meV per atom
# Volume   23.4 A^3/atom
# Energy relative to the elements, uncorrected   1.36 eV/atom



# CaNdHoCd, optimized geometry, DFT PBE-GGA
data_CaNdHoCd
_space_group_name_H-M_alt 'P 1'
_space_group_IT_number 1
_space_group_name_Hall 'P 1'
_cell_length_a 3.644
_cell_length_b 3.644
_cell_length_c 9.478
_cell_angle_alpha 90.00
_cell_angle_beta 90.00
_cell_angle_gamma 90.00
loop_
_atom_site_label
_atom_site_type_symbol
_atom_site_fract_x
_atom_site_fract_y
_atom_site_fract_z
Ca1 Ca 0.500 0.500 0.781
Nd1 Nd 0.000 0.000 0.093
Ho1 Ho 0.500 0.500 0.353
Cd1 Cd 0.000 0.000 0.558
# ΔH_f (0 K)   -0.14 eV/atom
# Distance to the lowest polymorph of the same formula   0 meV per atom
# Volume   31.5 A^3/atom



# AcEu3Pt, optimized geometry, DFT PBE-GGA
data_AcEu3Pt
_space_group_name_H-M_alt 'P 1'
_space_group_IT_number 1
_space_group_name_Hall 'P 1'
_cell_length_a 5.805
_cell_length_b 5.805
_cell_length_c 5.805
_cell_angle_alpha 90.00
_cell_angle_beta 90.00
_cell_angle_gamma 90.00
loop_
_atom_site_label
_atom_site_type_symbol
_atom_site_fract_x
_atom_site_fract_y
_atom_site_fract_z
Eu1 Eu 0.000 0.500 0.000
Eu2 Eu 0.000 0.000 0.500
Eu3 Eu 0.500 0.000 0.000
Ac1 Ac 0.500 0.500 0.500
Pt1 Pt 0.000 0.000 0.000
# ΔH_f (0 K)   -0.36 eV/atom
# Volume   39.1 A^3/atom



# SrNi2Pt2, optimized geometry, DFT PBE-GGA
data_SrNi2Pt2
_space_group_name_H-M_alt 'P 1'
_space_group_IT_number 1
_space_group_name_Hall 'P 1'
_cell_length_a 7.645
_cell_length_b 7.645
_cell_length_c 2.815
_cell_angle_alpha 90.00
_cell_angle_beta 90.00
_cell_angle_gamma 90.00
loop_
_atom_site_label
_atom_site_type_symbol
_atom_site_fract_x
_atom_site_fract_y
_atom_site_fract_z
Sr1 Sr 0.000 0.000 0.000
Sr2 Sr 0.500 0.500 0.000
Pt1 Pt 0.177 0.677 0.500
Pt2 Pt 0.677 0.823 0.500
Pt3 Pt 0.823 0.323 0.500
Pt4 Pt 0.323 0.177 0.500
Ni1 Ni 0.383 0.883 0.000
Ni2 Ni 0.883 0.617 0.000
Ni3 Ni 0.617 0.117 0.000
Ni4 Ni 0.117 0.383 0.000
# ΔH_f (0 K)   -0.19 eV/atom
# Distance to the lowest polymorph of the same formula   50 meV per atom
# Volume   16.5 A^3/atom



# TlPdAu3, optimized geometry, DFT PBE-GGA
data_TlPdAu3
_space_group_name_H-M_alt 'P 1'
_space_group_IT_number 1
_space_group_name_Hall 'P 1'
_cell_length_a 5.209
_cell_length_b 5.209
_cell_length_c 5.209
_cell_angle_alpha 90.00
_cell_angle_beta 90.00
_cell_angle_gamma 90.00
loop_
_atom_site_label
_atom_site_type_symbol
_atom_site_fract_x
_atom_site_fract_y
_atom_site_fract_z
Tl1 Tl 0.000 0.000 0.000
Au1 Au 0.000 0.500 0.000
Au2 Au 0.000 0.000 0.500
Au3 Au 0.500 0.000 0.000
Pd1 Pd 0.500 0.500 0.500
# ΔH_f (0 K)   0.97 eV/atom
# Distance to the lowest polymorph of the same formula   974 meV per atom
# Volume   28.3 A^3/atom



# Ac2CdAg, optimized geometry, DFT PBE-GGA
data_Ac2CdAg
_space_group_name_H-M_alt 'P 1'
_space_group_IT_number 1
_space_group_name_Hall 'P 1'
_cell_length_a 5.689
_cell_length_b 5.689
_cell_length_c 5.689
_cell_angle_alpha 60.00
_cell_angle_beta 60.00
_cell_angle_gamma 60.00
loop_
_atom_site_label
_atom_site_type_symbol
_atom_site_fract_x
_atom_site_fract_y
_atom_site_fract_z
Ac1 Ac 0.250 0.250 0.250
Ac2 Ac 0.750 0.750 0.750
Ag1 Ag 0.500 0.500 0.500
Cd1 Cd 0.000 0.000 0.000
# ΔH_f (0 K)   -0.27 eV/atom
# Distance to the lowest polymorph of the same formula   7 meV per atom
# Volume   32.6 A^3/atom